DFT (PBE) results for a relaxed Nb5Co5Sb4 crystal.

Values from the calculation:
Size of the total moment in μB/cell: 0.02
Total DFT energy (no corrections) in eV per atom: -7.45
Space group: No. 82
Crystal system: tetragonal

Geometry as CIF:
```
data_Nb5Co5Sb4
_cell_length_a 5.9494
_cell_length_b 7.1765
_cell_length_c 7.1765
_cell_angle_alpha 80.11
_cell_angle_beta 65.51
_cell_angle_gamma 65.51
_symmetry_space_group_name_H-M 'P 1'
_symmetry_Int_Tables_number 1
loop_
_symmetry_equiv_pos_as_xyz
'x,y,z'
loop_
_atom_site_label
_atom_site_fract_x
_atom_site_fract_y
_atom_site_fract_z
Nb1 0.3435 0.6848 0.1310
Co1 0.7122 0.4028 0.1897
Nb2 0.1593 0.3152 0.8690
Co2 0.8851 0.8103 0.4028
Nb3 0.5255 0.1310 0.3152
Sb1 0.4448 0.8963 0.7108
Nb4 0.7500 0.5000 0.5000
Sb2 0.8444 0.7108 0.1037
Sb3 0.0518 0.1037 0.2892
Co3 0.0982 0.1897 0.5972
Co4 0.5000 0.0000 0.0000
Co5 0.3046 0.5972 0.8103
Nb5 0.9717 0.8690 0.6848
Sb4 0.6590 0.2892 0.8963
```